Compound: NaTaTi3
Source: the Alexandria database
Functional: PBE
Structure: optimized geometry

symmetry: Pm-3m (221)
offset from the most stable computed form: 3.23 eV/f.u.
total energy: -5.690 eV per atom

Unit cell a=4.5841 b=4.5841 c=4.5841 alpha=90.00 beta=90.00 gamma=90.00
With the nearest neighbours (Å) after each atom.
Fractional positions:
Na 0.0000 0.0000 0.0000  6 Ti 2.29
Ta 0.5000 0.5000 0.5000  12 Ti 3.24
Ti 0.0000 0.0000 0.5000  2 Na 2.29
Ti 0.0000 0.5000 0.0000  2 Na 2.29
Ti 0.5000 0.0000 0.0000  2 Na 2.29

Compound: Na2TaTi
Source: the Alexandria database
Functional: PBE
Structure: optimized geometry

symmetry: I-42d (122)
offset from the most stable computed form: 0.00 eV/f.u.
total energy: -4.265 eV per atom

Unit cell a=8.3324 b=8.3324 c=5.0711 alpha=90.00 beta=90.00 gamma=90.00
With the nearest neighbours (Å) after each atom.
Fractional positions:
Na 0.2390 0.2500 0.1250  2 Na 2.54
Na 0.2500 0.7390 0.3750  2 Na 2.54
Na 0.2500 0.7610 0.8750  2 Na 2.54
Na 0.2610 0.2500 0.6250  2 Na 2.54
Na 0.7390 0.7500 0.6250  2 Na 2.54
Na 0.7500 0.2390 0.8750  2 Na 2.54
Na 0.7500 0.2610 0.3750  2 Na 2.54
Na 0.7610 0.7500 0.1250  2 Na 2.54
Ta 0.0000 0.0000 0.5000  2 Ti 2.54
Ta 0.0000 0.5000 0.7500  2 Ti 2.54
Ta 0.5000 0.0000 0.2500  2 Ti 2.54
Ta 0.5000 0.5000 0.0000  2 Ti 2.54
Ti 0.0000 0.0000 0.0000  2 Ta 2.54
Ti 0.0000 0.5000 0.2500  2 Ta 2.54
Ti 0.5000 0.0000 0.7500  2 Ta 2.54
Ti 0.5000 0.5000 0.5000  2 Ta 2.54

Compound: NaTaTi2
Source: the Alexandria database
Functional: PBE
Structure: optimized geometry

symmetry: I-42d (122)
offset from the most stable computed form: 1.73 eV/f.u.
total energy: -6.111 eV per atom

Unit cell a=4.0379 b=4.0379 c=19.1195 alpha=90.00 beta=90.00 gamma=90.00
With the nearest neighbours (Å) after each atom.
Fractional positions:
Na 0.0000 0.0000 0.0000  4 Ti 2.82, 4 Ta 2.86
Na 0.0000 0.5000 0.2500  4 Ti 2.82, 4 Ta 2.86
Na 0.5000 0.0000 0.7500  4 Ti 2.82, 4 Ta 2.86
Na 0.5000 0.5000 0.5000  4 Ti 2.82, 4 Ta 2.86
Ta 0.0000 0.0000 0.5000  4 Ti 2.75, 4 Na 2.86
Ta 0.0000 0.5000 0.7500  4 Ti 2.75, 4 Na 2.86
Ta 0.5000 0.0000 0.2500  4 Ti 2.75, 4 Na 2.86
Ta 0.5000 0.5000 0.0000  4 Ti 2.75, 4 Na 2.86
Ti 0.2259 0.2500 0.6250  4 Ti 2.72-3.00, 2 Ta 2.75, 2 Na 2.82
Ti 0.2500 0.7259 0.8750  4 Ti 2.72-3.00, 2 Ta 2.75, 2 Na 2.82
Ti 0.2500 0.7741 0.3750  4 Ti 2.72-3.00, 2 Ta 2.75, 2 Na 2.82
Ti 0.2741 0.2500 0.1250  4 Ti 2.72-3.00, 2 Ta 2.75, 2 Na 2.82
Ti 0.7259 0.7500 0.1250  4 Ti 2.72-3.00, 2 Ta 2.75, 2 Na 2.82
Ti 0.7500 0.2259 0.3750  4 Ti 2.72-3.00, 2 Ta 2.75, 2 Na 2.82
Ti 0.7500 0.2741 0.8750  4 Ti 2.72-3.00, 2 Ta 2.75, 2 Na 2.82
Ti 0.7741 0.7500 0.6250  4 Ti 2.72-3.00, 2 Ta 2.75, 2 Na 2.82

Compound: NaTaTi3
Source: the Alexandria database
Functional: PBE
Structure: optimized geometry

symmetry: Pm-3m (221)
offset from the most stable computed form: 0.00 eV/f.u.
total energy: -6.335 eV per atom

Unit cell a=4.9414 b=4.9414 c=4.9414 alpha=90.00 beta=90.00 gamma=90.00
With the nearest neighbours (Å) after each atom.
Fractional positions:
Na 0.0000 0.0000 0.0000  12 Ti 3.49
Ta 0.5000 0.5000 0.5000  6 Ti 2.47
Ti 0.0000 0.5000 0.5000  2 Ta 2.47
Ti 0.5000 0.0000 0.5000  2 Ta 2.47
Ti 0.5000 0.5000 0.0000  2 Ta 2.47

Compound: Na2TaTi
Source: the Alexandria database
Functional: PBE
Structure: optimized geometry

symmetry: Fm-3m (225)
offset from the most stable computed form: 0.41 eV/f.u.
total energy: -4.162 eV per atom

Unit cell a=6.9226 b=6.9226 c=6.9226 alpha=90.00 beta=90.00 gamma=90.00
With the nearest neighbours (Å) after each atom.
Fractional positions:
Na 0.2500 0.2500 0.2500  4 Ta 3.00, 4 Ti 3.00
Na 0.2500 0.2500 0.7500  4 Ta 3.00, 4 Ti 3.00
Na 0.2500 0.7500 0.2500  4 Ta 3.00, 4 Ti 3.00
Na 0.2500 0.7500 0.7500  4 Ta 3.00, 4 Ti 3.00
Na 0.7500 0.2500 0.2500  4 Ta 3.00, 4 Ti 3.00
Na 0.7500 0.2500 0.7500  4 Ta 3.00, 4 Ti 3.00
Na 0.7500 0.7500 0.2500  4 Ta 3.00, 4 Ti 3.00
Na 0.7500 0.7500 0.7500  4 Ta 3.00, 4 Ti 3.00
Ta 0.0000 0.0000 0.0000  8 Na 3.00
Ta 0.0000 0.5000 0.5000  8 Na 3.00
Ta 0.5000 0.0000 0.5000  8 Na 3.00
Ta 0.5000 0.5000 0.0000  8 Na 3.00
Ti 0.0000 0.0000 0.5000  8 Na 3.00
Ti 0.0000 0.5000 0.0000  8 Na 3.00
Ti 0.5000 0.0000 0.0000  8 Na 3.00
Ti 0.5000 0.5000 0.5000  8 Na 3.00

Compound: Na2Ta2Ti
Source: the Alexandria database
Functional: PBE
Structure: optimized geometry

symmetry: I4/mmm (139)
offset from the most stable computed form: 0.00 eV/f.u.
total energy: -5.897 eV per atom

Unit cell a=3.5855 b=3.5855 c=16.3508 alpha=90.00 beta=90.00 gamma=90.00
With the nearest neighbours (Å) after each atom.
Fractional positions:
Na 0.0000 0.5000 0.2500  4 Na 2.54
Na 0.0000 0.5000 0.7500  4 Na 2.54
Na 0.5000 0.0000 0.2500  4 Na 2.54
Na 0.5000 0.0000 0.7500  4 Na 2.54
Ta 0.0000 0.0000 0.0785  1 Ta 2.57, 4 Ti 2.84
Ta 0.0000 0.0000 0.9215  1 Ta 2.57, 4 Ti 2.84
Ta 0.5000 0.5000 0.4215  1 Ta 2.57, 4 Ti 2.84
Ta 0.5000 0.5000 0.5785  1 Ta 2.57, 4 Ti 2.84
Ti 0.0000 0.0000 0.5000  8 Ta 2.84
Ti 0.5000 0.5000 0.0000  8 Ta 2.84

It is found that the formation energy values, taken in the order of the records, are 1682, 1331, 1129, 1037, 1434, 950 meV/atom.